The following is a PBE calculation of crystalline MgH6S4O16 at its relaxed geometry, from the Alexandria database.

Computed properties:
calculated total energy = -5.6997 eV/atom
total moment = 0.0 μB/f.u.

Structure (POSCAR):
```
MgH6S4O16
1.0
5.244 0.000 0.000
0.000 15.331 0.000
-1.953 0.000 8.310
Mg H S O
2 12 8 32
Direct
0.000 0.000 0.000 Mg
0.000 0.500 0.500 Mg
0.212 0.241 0.811 H
0.212 0.259 0.311 H
0.295 0.521 0.125 H
0.295 0.979 0.625 H
0.394 0.734 0.824 H
0.394 0.766 0.324 H
0.606 0.234 0.676 H
0.606 0.266 0.176 H
0.705 0.021 0.375 H
0.705 0.479 0.875 H
0.788 0.741 0.689 H
0.788 0.759 0.189 H
0.105 0.664 0.249 S
0.105 0.836 0.749 S
0.425 0.087 0.782 S
0.425 0.413 0.282 S
0.575 0.587 0.718 S
0.575 0.913 0.218 S
0.895 0.164 0.251 S
0.895 0.336 0.751 S
0.027 0.107 0.160 O
0.027 0.393 0.660 O
0.096 0.221 0.366 O
0.096 0.279 0.866 O
0.262 0.624 0.150 O
0.262 0.876 0.650 O
0.264 0.063 0.894 O
0.264 0.437 0.394 O
0.273 0.726 0.373 O
0.273 0.774 0.873 O
0.302 0.560 0.663 O
0.302 0.940 0.163 O
0.310 0.045 0.615 O
0.310 0.455 0.115 O
0.406 0.182 0.746 O
0.406 0.318 0.246 O
0.594 0.682 0.754 O
0.594 0.818 0.254 O
0.690 0.545 0.885 O
0.690 0.955 0.385 O
0.698 0.060 0.837 O
0.698 0.440 0.337 O
0.727 0.226 0.127 O
0.727 0.274 0.627 O
0.736 0.563 0.606 O
0.736 0.937 0.106 O
0.738 0.124 0.350 O
0.738 0.376 0.850 O
0.904 0.721 0.134 O
0.904 0.779 0.634 O
0.973 0.607 0.340 O
0.973 0.893 0.840 O
```

The following is a PBE calculation of crystalline Sb2PBr at its relaxed geometry, from the Alexandria database.

Computed properties:
calculated total energy = -3.3563 eV/atom
total moment = 0.0 μB/f.u.
distance to the lowest polymorph of the same formula = 0.480 eV/atom
formation energy from raw total energies = 0.48 eV per atom

Structure (POSCAR):
```
Sb2PBr
1.0
0.000 3.624 3.624
3.624 0.000 3.624
3.624 3.624 0.000
Sb P Br
2 1 1
Direct
0.000 0.000 0.000 Sb
0.250 0.250 0.250 Sb
0.500 0.500 0.500 P
0.750 0.750 0.750 Br
```

The following is a PBE calculation of crystalline YTm3Ru at its relaxed geometry, from the Alexandria database.

Computed properties:
calculated total energy = -5.9292 eV/atom
total moment = 0.0 μB/f.u.
distance to the lowest polymorph of the same formula = 0.121 eV/atom
ΔH_f (0 K) = -0.0983 eV per atom

Structure (POSCAR):
```
YTm3Ru
1.0
5.316 0.000 0.000
0.000 5.316 0.000
0.000 0.000 5.316
Y Tm Ru
1 3 1
Direct
0.000 0.000 0.000 Y
0.000 0.500 0.500 Tm
0.500 0.000 0.500 Tm
0.500 0.500 0.000 Tm
0.500 0.500 0.500 Ru
```

The following is a PBE calculation of crystalline Rb4MgSe4O14 at its relaxed geometry, from the Alexandria database.

Computed properties:
calculated total energy = -5.0395 eV/atom
total moment = 0.0 μB/f.u.
distance to the lowest polymorph of the same formula = 0.092 eV/atom
formation energy from raw total energies = -1.18 eV per atom

Structure (POSCAR):
```
Rb4MgSe4O14
1.0
7.696 -4.224 0.000
7.696 4.224 0.000
-1.664 0.000 7.253
Rb Mg Se O
4 1 4 14
Direct
0.144 0.144 0.453 Rb
0.395 0.269 0.071 Rb
0.731 0.605 0.929 Rb
0.856 0.856 0.547 Rb
0.222 0.778 0.000 Mg
0.052 0.138 0.902 Se
0.400 0.436 0.613 Se
0.564 0.600 0.387 Se
0.862 0.948 0.098 Se
0.028 0.903 0.275 O
0.093 0.294 0.846 O
0.097 0.972 0.725 O
0.216 0.512 0.465 O
0.232 0.011 0.063 O
0.390 0.569 0.809 O
0.431 0.610 0.191 O
0.488 0.784 0.535 O
0.494 0.223 0.647 O
0.581 0.419 0.500 O
0.706 0.907 0.154 O
0.777 0.506 0.353 O
0.857 0.143 0.000 O
0.989 0.768 0.937 O
```

> Which value of total moment does entry 1 give?

0.0 μB/f.u.